La6CePmNd2: relaxed, PBE.

The space group is C2/m (No. 12) and the conventional cell measures 11.546, 7.119 and 9.114 Å, with angles of 90.00, 105.37 and 90.00 degrees. Symmetry generates all atoms from La at (0.123, 0.000, 0.412), La at (0.181, 0.265, 0.799), Ce at (0.000, 0.000, 0.000), Pm at (0.000, 0.500, 0.500) and Nd at (0.089, 0.500, 0.165).

***

La2CePrNd2: relaxed, PBE.

The space group is Pnnm (No. 58) and the conventional cell measures 6.746, 18.090 and 3.443 Å, with angles of 90.00, 90.00 and 90.00 degrees. Symmetry generates all atoms from La at (0.199, 0.146, 0.000), Ce at (0.000, 0.000, 0.500), Pr at (0.000, 0.500, 0.500) and Nd at (0.216, 0.319, 0.500).

***

LaCePrNd: relaxed, PBE.

The space group is F-43m (No. 216) and the conventional cell measures 8.270, 8.270 and 8.270 Å, with angles of 90.00, 90.00 and 90.00 degrees. Symmetry generates all atoms from La at (0.000, 0.000, 0.000), Ce at (0.250, 0.250, 0.250), Pr at (0.000, 0.000, 0.500) and Nd at (0.250, 0.250, 0.750).

***

no.,formation energy from the elements (meV per atom)
1,200
2,253
3,201